Computed, not measured: a relaxed structure of DyCdGe at the PBE level of DFT.

The structure in CIF format:
```
data_DyCdGe
_symmetry_space_group_name_H-M 'P 3 m 1'
_symmetry_Int_Tables_number 156
_cell_length_a 4.4623
_cell_length_b 4.4623
_cell_length_c 4.0239
_cell_angle_alpha 90.00
_cell_angle_beta 90.00
_cell_angle_gamma 120.00
loop_
_symmetry_equiv_pos_as_xyz
'x,y,z'
'-y,x-y,z'
'-x+y,-x,z'
'-y,-x,z'
'-x+y,y,z'
'x,x-y,z'
loop_
_atom_site_label
_atom_site_type_symbol
_atom_site_fract_x
_atom_site_fract_y
_atom_site_fract_z
Dy1 Dy 0.0000 0.0000 0.0000
Cd1 Cd 0.6667 0.3333 0.5522
Ge1 Ge 0.3333 0.6667 0.3778
```

Output
Calculated volume (Å³ per atom): 23.1
Final energy (eV per cell): -11.42
Formation enthalpy at 0 K (eV/atom): -0.43
Total magnetic moment (μB per formula unit): 0.00